Entry 1:
## Ce2ScRu (PBE-GGA)

Data for Ce2ScRu after structural relaxation.

Cell and atoms, written as CIF:
```
data_Ce2ScRu
_chemical_formula_sum 'Ce8 Sc4 Ru4'
_symmetry_space_group_name_H-M 'C m c m'
_symmetry_Int_Tables_number 63
_symmetry_space_group_name_Hall '-C 2c 2'
_cell_length_a 3.631
_cell_length_b 10.779
_cell_length_c 9.658
_cell_angle_alpha 90.00
_cell_angle_beta 90.00
_cell_angle_gamma 90.00
loop_
_atom_site_label
_atom_site_fract_x
_atom_site_fract_y
_atom_site_fract_z
_atom_site_occupancy
Ce1 0.000 0.133 0.059 1
Sc1 0.000 0.416 0.250 1
Ru1 0.000 0.291 0.750 1
```

Summary:
The offset from the most stable computed form is 0 kJ/mol of formula units. The formation energy from the elements is -0.208 eV/atom.

***

Entry 2:
## Ce2ScRu (PBE-GGA)

Data for Ce2ScRu after structural relaxation.

Cell and atoms, written as CIF:
```
data_Ce2ScRu
_chemical_formula_sum 'Ce6 Sc3 Ru3'
_symmetry_space_group_name_H-M 'R 3 m'
_symmetry_Int_Tables_number 160
_symmetry_space_group_name_Hall 'R 3 -2"'
_cell_length_a 3.7342
_cell_length_b 3.7342
_cell_length_c 26.0700
_cell_angle_alpha 90.00
_cell_angle_beta 90.00
_cell_angle_gamma 120.00
loop_
_atom_site_label
_atom_site_fract_x
_atom_site_fract_y
_atom_site_fract_z
_atom_site_occupancy
Ce1 0.0000 0.0000 0.0000 1
Ce2 0.0000 0.0000 0.2033 1
Sc1 0.0000 0.0000 0.4345 1
Ru1 0.0000 0.0000 0.6017 1
```

Summary:
The offset from the most stable computed form is 84 kJ/mol of formula units. The formation energy from the elements is 0.009 eV/atom.

***

Entry 3:
## CeScTcRu (PBE-GGA)

Data for CeScTcRu after structural relaxation.

Cell and atoms, written as CIF:
```
data_CeScTcRu
_chemical_formula_sum 'Ce4 Sc4 Tc4 Ru4'
_symmetry_space_group_name_H-M 'F -4 3 m'
_symmetry_Int_Tables_number 216
_symmetry_space_group_name_Hall 'F -4 2 3'
_cell_length_a 6.666
_cell_length_b 6.666
_cell_length_c 6.666
_cell_angle_alpha 90.00
_cell_angle_beta 90.00
_cell_angle_gamma 90.00
loop_
_atom_site_label
_atom_site_fract_x
_atom_site_fract_y
_atom_site_fract_z
_atom_site_occupancy
Ce1 0.000 0.000 0.000 1
Sc1 0.000 0.000 0.500 1
Tc1 0.250 0.250 0.750 1
Ru1 0.250 0.250 0.250 1
```

Summary:
The formation energy from the elements is -0.305 eV/atom.

***

Entry 4:
## CeScZnRu (PBE-GGA)

Data for CeScZnRu after structural relaxation.

Cell and atoms, written as CIF:
```
data_CeScZnRu
_chemical_formula_sum 'Ce4 Sc4 Zn4 Ru4'
_symmetry_space_group_name_H-M 'F -4 3 m'
_symmetry_Int_Tables_number 216
_symmetry_space_group_name_Hall 'F -4 2 3'
_cell_length_a 6.822
_cell_length_b 6.822
_cell_length_c 6.822
_cell_angle_alpha 90.00
_cell_angle_beta 90.00
_cell_angle_gamma 90.00
loop_
_atom_site_label
_atom_site_fract_x
_atom_site_fract_y
_atom_site_fract_z
_atom_site_occupancy
Ce1 0.000 0.000 0.000 1
Sc1 0.000 0.000 0.500 1
Zn1 0.250 0.250 0.750 1
Ru1 0.250 0.250 0.250 1
```

Summary:
The formation energy from the elements is -0.322 eV/atom.

***

Entry 5:
## Ce5RuSe4 (PBE-GGA)

Data for Ce5RuSe4 after structural relaxation.

Cell and atoms, written as CIF:
```
data_Ce5RuSe4
_chemical_formula_sum 'Ce10 Ru2 Se8'
_symmetry_space_group_name_H-M 'I 4/m m m'
_symmetry_Int_Tables_number 139
_symmetry_space_group_name_Hall '-I 4 2'
_cell_length_a 4.184
_cell_length_b 4.184
_cell_length_c 29.323
_cell_angle_alpha 90.00
_cell_angle_beta 90.00
_cell_angle_gamma 90.00
loop_
_atom_site_label
_atom_site_fract_x
_atom_site_fract_y
_atom_site_fract_z
_atom_site_occupancy
Ce1 0.000 0.000 0.000 1
Ce2 0.000 0.000 0.202 1
Ce3 0.000 0.000 0.408 1
Ru1 0.000 0.000 0.500 1
Se1 0.000 0.000 0.101 1
Se2 0.000 0.000 0.304 1
```

Summary:
The uncorrected formation energy comes out at -1.48 eV/atom.

***

Entry 6:
## Ce2RuSe (PBE-GGA)

Data for Ce2RuSe after structural relaxation.

Cell and atoms, written as CIF:
```
data_Ce2RuSe
_chemical_formula_sum 'Ce6 Ru3 Se3'
_symmetry_space_group_name_H-M 'R 3 m'
_symmetry_Int_Tables_number 160
_symmetry_space_group_name_Hall 'R 3 -2"'
_cell_length_a 3.8859
_cell_length_b 3.8859
_cell_length_c 22.4407
_cell_angle_alpha 90.00
_cell_angle_beta 90.00
_cell_angle_gamma 120.00
loop_
_atom_site_label
_atom_site_fract_x
_atom_site_fract_y
_atom_site_fract_z
_atom_site_occupancy
Ce1 0.0000 0.0000 0.0000 1
Ce2 0.0000 0.0000 0.1570 1
Ru1 0.0000 0.0000 0.4085 1
Se1 0.0000 0.0000 0.5789 1
```

Summary:
The uncorrected formation energy comes out at -0.86 eV/atom. The offset from the most stable computed form is 47 kJ/mol of formula units.

***

Entry 7:
## Ce2RuSe (PBE-GGA)

Data for Ce2RuSe after structural relaxation.

Cell and atoms, written as CIF:
```
data_Ce2RuSe
_chemical_formula_sum 'Ce6 Ru3 Se3'
_symmetry_space_group_name_H-M 'R -3 m'
_symmetry_Int_Tables_number 166
_symmetry_space_group_name_Hall '-R 3 2"'
_cell_length_a 4.0046
_cell_length_b 4.0046
_cell_length_c 21.4050
_cell_angle_alpha 90.00
_cell_angle_beta 90.00
_cell_angle_gamma 120.00
loop_
_atom_site_label
_atom_site_fract_x
_atom_site_fract_y
_atom_site_fract_z
_atom_site_occupancy
Ce1 0.0000 0.0000 0.2412 1
Ru1 0.0000 0.0000 0.5000 1
Se1 0.0000 0.0000 0.0000 1
```

Summary:
The uncorrected formation energy comes out at -0.98 eV/atom. The offset from the most stable computed form is 0 kJ/mol of formula units.

***

Entry 8:
## Ce2Tl3RuSe6 (PBE-GGA)

Data for Ce2Tl3RuSe6 after structural relaxation.

Cell and atoms, written as CIF:
```
data_Ce2Tl3RuSe6
_chemical_formula_sum 'Ce4 Tl6 Ru2 Se12'
_symmetry_space_group_name_H-M 'C 1 2/m 1'
_symmetry_Int_Tables_number 12
_symmetry_space_group_name_Hall '-C 2y'
_cell_length_a 6.929
_cell_length_b 12.125
_cell_length_c 8.288
_cell_angle_alpha 90.00
_cell_angle_beta 106.60
_cell_angle_gamma 90.00
loop_
_atom_site_label
_atom_site_fract_x
_atom_site_fract_y
_atom_site_fract_z
_atom_site_occupancy
Ce1 0.000 0.164 0.000 1
Tl1 0.000 0.000 0.500 1
Tl2 0.000 0.319 0.500 1
Ru1 0.000 0.500 0.000 1
Se1 0.215 0.349 0.196 1
Se2 0.227 0.500 0.791 1
```

Summary:
The uncorrected formation energy comes out at -0.91 eV/atom.

***

Entry 9:
## CeSi2Ru2 (PBE-GGA)

Data for CeSi2Ru2 after structural relaxation.

Cell and atoms, written as CIF:
```
data_CeSi2Ru2
_chemical_formula_sum 'Ce2 Si4 Ru4'
_symmetry_space_group_name_H-M 'I 4/m m m'
_symmetry_Int_Tables_number 139
_symmetry_space_group_name_Hall '-I 4 2'
_cell_length_a 4.203
_cell_length_b 4.203
_cell_length_c 9.708
_cell_angle_alpha 90.00
_cell_angle_beta 90.00
_cell_angle_gamma 90.00
loop_
_atom_site_label
_atom_site_fract_x
_atom_site_fract_y
_atom_site_fract_z
_atom_site_occupancy
Ce1 0.000 0.000 0.000 1
Si1 0.000 0.000 0.368 1
Ru1 0.000 0.500 0.250 1
```

Summary:
The uncorrected formation energy comes out at -0.88 eV/atom.

***

Entry 10:
## Ce8SiRu2 (PBE-GGA)

Data for Ce8SiRu2 after structural relaxation.

Cell and atoms, written as CIF:
```
data_Ce8SiRu2
_chemical_formula_sum 'Ce16 Si2 Ru4'
_symmetry_space_group_name_H-M 'C 1 2/m 1'
_symmetry_Int_Tables_number 12
_symmetry_space_group_name_Hall '-C 2y'
_cell_length_a 8.405
_cell_length_b 13.534
_cell_length_c 4.923
_cell_angle_alpha 90.00
_cell_angle_beta 105.65
_cell_angle_gamma 90.00
loop_
_atom_site_label
_atom_site_fract_x
_atom_site_fract_y
_atom_site_fract_z
_atom_site_occupancy
Ce1 0.000 0.243 0.000 1
Ce2 0.105 0.500 0.817 1
Ce3 0.175 0.103 0.573 1
Si1 0.000 0.000 0.000 1
Ru1 0.000 0.304 0.500 1
```

Summary:
The uncorrected formation energy comes out at -0.22 eV/atom.

***

Entry 11:
## Ce6Si2Ru (PBE-GGA)

Data for Ce6Si2Ru after structural relaxation.

Cell and atoms, written as CIF:
```
data_Ce6Si2Ru
_chemical_formula_sum 'Ce6 Si2 Ru1'
_symmetry_space_group_name_H-M 'P -6 2 m'
_symmetry_Int_Tables_number 189
_symmetry_space_group_name_Hall 'P -6 -2'
_cell_length_a 8.0364
_cell_length_b 8.0364
_cell_length_c 3.8394
_cell_angle_alpha 90.00
_cell_angle_beta 90.00
_cell_angle_gamma 120.00
loop_
_atom_site_label
_atom_site_fract_x
_atom_site_fract_y
_atom_site_fract_z
_atom_site_occupancy
Ce1 0.0000 0.2587 0.0000 1
Ce2 0.0000 0.5809 0.5000 1
Si1 0.3333 0.6667 0.0000 1
Ru1 0.0000 0.0000 0.5000 1
```

Summary:
The uncorrected formation energy comes out at -0.43 eV/atom.

***

Entry 12:
## Ce8Si2Ru3 (PBE-GGA)

Data for Ce8Si2Ru3 after structural relaxation.

Cell and atoms, written as CIF:
```
data_Ce8Si2Ru3
_chemical_formula_sum 'Ce16 Si4 Ru6'
_symmetry_space_group_name_H-M 'C 1 2/m 1'
_symmetry_Int_Tables_number 12
_symmetry_space_group_name_Hall '-C 2y'
_cell_length_a 15.297
_cell_length_b 7.589
_cell_length_c 6.595
_cell_angle_alpha 90.00
_cell_angle_beta 111.51
_cell_angle_gamma 90.00
loop_
_atom_site_label
_atom_site_fract_x
_atom_site_fract_y
_atom_site_fract_z
_atom_site_occupancy
Ce1 0.105 0.000 0.246 1
Ce2 0.106 0.260 0.766 1
Ce3 0.160 0.500 0.286 1
Si1 0.240 0.000 0.039 1
Ru1 0.000 0.000 0.500 1
Ru2 0.000 0.304 0.000 1
```

Summary:
The uncorrected formation energy comes out at -0.20 eV/atom.